[1]
Density functional theory data (PBE with a Hubbard U) for CaFeO2 after structural relaxation.

final energy: -6.52 eV per atom
density of states at the Fermi level: 0.000 states/eV per atom

Cell lengths 5.633, 3.238, 10.957 Å; angles 90.00, 90.00, 90.00 degrees
Space group Pnma (No. 62)
One atom of each set of equivalent atoms:
1 Ca 0.097 0.250 0.141 x4
2 Fe 0.093 0.750 0.392 x4
3 O 0.134 0.250 0.749 x4
4 O 0.242 0.250 0.489 x4

***

[2]
Density functional theory data (PBE with a Hubbard U) for Ca2Fe2O5 after structural relaxation.

E above lowest polymorph: 0 meV per atom

Cell lengths 5.538, 5.654, 14.846 Å; angles 90.00, 90.00, 90.00 degrees
Space group Pna2_1 (No. 33)
One atom of each set of equivalent atoms:
1 Ca 0.034 0.020 0.000 x4
2 Ca 0.036 0.022 0.719 x4
3 Fe 0.000 0.499 0.108 x4
4 Fe 0.053 0.563 0.859 x4
5 O 0.030 0.578 0.469 x4
6 O 0.036 0.582 0.251 x4
7 O 0.098 0.126 0.359 x4
8 O 0.220 0.219 0.128 x4
9 O 0.220 0.220 0.590 x4

***

[3]
Density functional theory data (PBE with a Hubbard U) for CaFe2O5 after structural relaxation.

E above lowest polymorph: 96 meV per atom
density of states at the Fermi level: 0.402 states/eV per atom

Cell lengths 3.776, 11.921, 11.274 Å; angles 90.00, 90.00, 90.00 degrees
Space group Cmcm (No. 63)
One atom of each set of equivalent atoms:
1 Ca 0.000 0.090 0.250 x4
2 Fe 0.000 0.222 0.602 x8
3 O 0.000 0.077 0.655 x8
4 O 0.000 0.220 0.074 x8
5 O 0.000 0.305 0.750 x4

***

[4]
Density functional theory data (PBE with a Hubbard U) for CaFe8O12 after structural relaxation.

E above lowest polymorph: 55 meV per atom

Cell lengths 5.221, 5.838, 8.657 Å; angles 83.65, 79.18, 73.94 degrees
Space group P1 (No. 1)
One atom of each set of equivalent atoms:
1 Ca 0.000 0.000 0.000 x1
2 Fe 0.068 0.496 0.866 x1
3 Fe 0.104 0.758 0.429 x1
4 Fe 0.119 0.259 0.572 x1
5 Fe 0.254 0.403 0.139 x1
6 Fe 0.559 0.645 0.736 x1
7 Fe 0.600 0.122 0.745 x1
8 Fe 0.658 0.092 0.339 x1
9 Fe 0.687 0.580 0.324 x1
10 O 0.298 0.646 0.941 x1
11 O 0.325 0.201 0.949 x1
12 O 0.342 0.406 0.363 x1
13 O 0.348 0.443 0.663 x1
14 O 0.373 0.971 0.658 x1
15 O 0.410 0.876 0.332 x1
16 O 0.792 0.793 0.837 x1
17 O 0.834 0.570 0.524 x1
18 O 0.848 0.311 0.795 x1
19 O 0.862 0.321 0.191 x1
20 O 0.886 0.065 0.525 x1
21 O 0.946 0.779 0.237 x1

***

[5]
Density functional theory data (PBE with a Hubbard U) for Ca4FeO6 after structural relaxation.

final energy: -6.32 eV per atom

Cell lengths 10.796, 6.016, 11.588 Å; angles 90.00, 110.59, 90.00 degrees
Space group Cc (No. 9)
One atom of each set of equivalent atoms:
1 Ca 0.000 0.134 0.000 x4
2 Ca 0.175 0.353 0.565 x4
3 Ca 0.219 0.151 0.851 x4
4 Ca 0.379 0.208 0.176 x4
5 Fe 0.459 0.265 0.780 x4
6 O 0.061 0.139 0.656 x4
7 O 0.101 0.128 0.399 x4
8 O 0.196 0.294 0.021 x4
9 O 0.334 0.472 0.786 x4
10 O 0.392 0.178 0.619 x4
11 O 0.426 0.006 0.854 x4

***

[6]
Density functional theory data (PBE with a Hubbard U) for CaFe2O4 after structural relaxation.

E above lowest polymorph: 500 meV per atom
density of states at the Fermi level: 0.138 states/eV per atom

Cell lengths 5.333, 5.333, 3.491 Å; angles 90.00, 90.00, 90.00 degrees
Space group P4/mmm (No. 123)
One atom of each set of equivalent atoms:
1 Ca 0.000 0.000 0.000 x1
2 Fe 0.000 0.500 0.500 x2
3 O 0.234 0.234 0.500 x4

***

[7]
Density functional theory data (PBE with a Hubbard U) for Ca2FeO2 after structural relaxation.

E above lowest polymorph: 270 meV per atom
density of states at the Fermi level: 0.190 states/eV per atom

Cell lengths 7.013, 7.013, 2.990 Å; angles 90.00, 90.00, 90.00 degrees
Space group P4/mbm (No. 127)
One atom of each set of equivalent atoms:
1 Ca 0.148 0.352 0.000 x4
2 Fe 0.000 0.000 0.000 x2
3 O 0.155 0.655 0.500 x4

***

[8]
Density functional theory data (PBE with a Hubbard U) for CaFe2O4 after structural relaxation.

E above lowest polymorph: 90 meV per atom
density of states at the Fermi level: 0.000 states/eV per atom

Cell lengths 6.2089, 6.2089, 15.8182 Å; angles 90.00, 90.00, 120.00 degrees
Space group R3m (No. 160, hexagonal axes)
One atom of each set of equivalent atoms:
1 Ca 0.0000 0.0000 0.0000 x3
2 Ca 0.0000 0.0000 0.3774 x3
3 Fe 0.0000 0.0000 0.7591 x3
4 Fe 0.0100 0.5050 0.8783 x9
5 O 0.0000 0.0000 0.1414 x3
6 O 0.0000 0.0000 0.6232 x3
7 O 0.0036 0.5018 0.1365 x9
8 O 0.1834 0.3668 0.9438 x9

***

[9]
Density functional theory data (PBE with a Hubbard U) for CaFe2O4 after structural relaxation.

E above lowest polymorph: 233 meV per atom
density of states at the Fermi level: 0.140 states/eV per atom

Cell lengths 6.292, 6.329, 8.632 Å; angles 90.00, 90.00, 90.00 degrees
Space group Imma (No. 74)
One atom of each set of equivalent atoms:
1 Ca 0.250 0.250 0.250 x4
2 Fe 0.000 0.000 0.000 x4
3 Fe 0.000 0.250 0.642 x4
4 O 0.000 0.008 0.774 x8
5 O 0.241 0.250 0.985 x8

***

[10]
Density functional theory data (PBE with a Hubbard U) for CaFeO2 after structural relaxation.

final energy: -6.51 eV per atom
density of states at the Fermi level: 0.000 states/eV per atom

Cell lengths 5.566, 5.566, 3.467 Å; angles 90.00, 90.00, 90.00 degrees
Space group P-42_1m (No. 113)
One atom of each set of equivalent atoms:
1 Ca 0.000 0.500 0.101 x2
2 Fe 0.000 0.000 0.500 x2
3 O 0.218 0.282 0.638 x4

***

[11]
Density functional theory data (PBE with a Hubbard U) for CaFe2O5 after structural relaxation.

E above lowest polymorph: 0 meV per atom
density of states at the Fermi level: 0.288 states/eV per atom

Cell lengths 3.560, 11.500, 5.376 Å; angles 90.00, 90.00, 90.00 degrees
Space group Pmmn (No. 59, origin choice 2)
One atom of each set of equivalent atoms:
1 Ca 0.250 0.250 0.097 x2
2 Fe 0.250 0.602 0.443 x4
3 O 0.250 0.069 0.404 x4
4 O 0.250 0.654 0.119 x4
5 O 0.250 0.750 0.599 x2

***

[12]
Density functional theory data (PBE with a Hubbard U) for Ca2FeO2 after structural relaxation.

E above lowest polymorph: 0 meV per atom
density of states at the Fermi level: 0.023 states/eV per atom

Cell lengths 4.308, 4.308, 11.289 Å; angles 90.00, 90.00, 90.00 degrees
Space group I4/mmm (No. 139)
One atom of each set of equivalent atoms:
1 Ca 0.000 0.000 0.187 x4
2 Fe 0.000 0.000 0.500 x2
3 O 0.000 0.500 0.250 x4

***

[13]
Density functional theory data (PBE with a Hubbard U) for Ca2Fe7O11 after structural relaxation.

final energy: -6.39 eV per atom

Cell lengths 10.135, 3.041, 14.103 Å; angles 90.00, 101.04, 90.00 degrees
Space group C2/m (No. 12)
One atom of each set of equivalent atoms:
1 Ca 0.082 0.000 0.222 x4
2 Fe 0.000 0.500 0.000 x2
3 Fe 0.123 0.500 0.452 x4
4 Fe 0.136 0.000 0.651 x4
5 Fe 0.203 0.000 0.908 x4
6 O 0.000 0.000 0.500 x2
7 O 0.010 0.500 0.676 x4
8 O 0.071 0.500 0.879 x4
9 O 0.163 0.000 0.042 x4
10 O 0.240 0.500 0.596 x4
11 O 0.247 0.000 0.780 x4

***

[14]
Density functional theory data (PBE with a Hubbard U) for CaFeO2 after structural relaxation.

final energy: -6.47 eV per atom
density of states at the Fermi level: 0.025 states/eV per atom

Cell lengths 4.001, 4.001, 3.229 Å; angles 90.00, 90.00, 90.00 degrees
Space group P4/mmm (No. 123)
One atom of each set of equivalent atoms:
1 Ca 0.000 0.000 0.000 x1
2 Fe 0.500 0.500 0.500 x1
3 O 0.000 0.500 0.500 x2

***

[15]
Density functional theory data (PBE with a Hubbard U) for CaFeO2 after structural relaxation.

final energy: -6.28 eV per atom
density of states at the Fermi level: 0.000 states/eV per atom

Cell lengths 3.4815, 3.4815, 17.8233 Å; angles 90.00, 90.00, 120.00 degrees
Space group R-3m (No. 166, hexagonal axes)
One atom of each set of equivalent atoms:
1 Ca 0.0000 0.0000 0.0000 x3
2 Fe 0.0000 0.0000 0.5000 x3
3 O 0.0000 0.0000 0.4001 x6

***

[16]
Density functional theory data (PBE with a Hubbard U) for CaFe8O12 after structural relaxation.

E above lowest polymorph: 0 meV per atom

Cell lengths 6.043, 5.276, 7.531 Å; angles 90.00, 95.46, 90.00 degrees
Space group P2 (No. 3)
One atom of each set of equivalent atoms:
1 Ca 0.000 0.000 0.000 x1
2 Fe 0.172 0.041 0.415 x2
3 Fe 0.291 0.529 0.591 x2
4 Fe 0.302 0.512 0.092 x2
5 Fe 0.464 0.021 0.768 x2
6 O 0.000 0.378 0.500 x1
7 O 0.000 0.590 0.000 x1
8 O 0.177 0.872 0.662 x2
9 O 0.240 0.180 0.184 x2
10 O 0.354 0.362 0.836 x2
11 O 0.372 0.698 0.335 x2
12 O 0.500 0.223 0.500 x1
13 O 0.500 0.821 0.000 x1

***

[17]
Density functional theory data (PBE with a Hubbard U) for CaFe2O4 after structural relaxation.

E above lowest polymorph: 2 meV per atom
density of states at the Fermi level: 0.000 states/eV per atom

Cell lengths 9.329, 3.055, 10.845 Å; angles 90.00, 90.00, 90.00 degrees
Space group Pnma (No. 62)
One atom of each set of equivalent atoms:
1 Ca 0.243 0.250 0.156 x4
2 Fe 0.066 0.250 0.389 x4
3 Fe 0.082 0.250 0.896 x4
4 O 0.026 0.750 0.784 x4
5 O 0.083 0.250 0.573 x4
6 O 0.120 0.750 0.024 x4
7 O 0.205 0.750 0.336 x4

***

[18]
Density functional theory data (PBE with a Hubbard U) for Ca2Fe2O5 after structural relaxation.

E above lowest polymorph: 13 meV per atom

Cell lengths 14.835, 5.698, 5.500 Å; angles 90.00, 90.00, 90.00 degrees
Space group Ima2 (No. 46)
One atom of each set of equivalent atoms:
1 Ca 0.108 0.028 0.000 x8
2 Fe 0.000 0.000 0.484 x4
3 Fe 0.250 0.568 0.031 x4
4 O 0.017 0.745 0.235 x8
5 O 0.141 0.077 0.447 x8
6 O 0.250 0.621 0.384 x4